1.
The following is a GGA-PBEsol calculation of crystalline Ta3Pt at its relaxed geometry, from the Alexandria database.

## Properties
energy relative to the elements: -0.321 eV/atom
calculated volume: 16.9 Å³ per atom

a = 6.1468 Å, b = 9.4572 Å, c = 4.6404 Å
α = 90.00°, β = 90.00°, γ = 90.00°
Space group Cmcm (No. 63)
Symmetry-distinct sites (fractional):
Ta 0.0000 0.1254 0.2500
Ta 0.2387 0.3880 0.2500
Pt 0.0000 0.3436 0.7500



2.
The following is a GGA-PBEsol calculation of crystalline Ta2TcPt at its relaxed geometry, from the Alexandria database.

## Properties
energy relative to the elements: -0.342 eV/atom
calculated volume: 16.0 Å³ per atom

a = 2.7911 Å, b = 3.9980 Å, c = 5.7572 Å
α = 90.00°, β = 96.66°, γ = 90.00°
Space group P2/m (No. 10)
Symmetry-distinct sites (fractional):
Ta 0.0777 0.0000 0.2580
Tc 0.5000 0.5000 0.5000
Pt 0.5000 0.5000 0.0000



3.
The following is a GGA-PBEsol calculation of crystalline TaTcPt2 at its relaxed geometry, from the Alexandria database.

## Properties
offset from the most stable computed form: 122.3 meV per atom
energy relative to the elements: -0.442 eV/atom
calculated volume: 15.1 Å³ per atom

a = 5.4313 Å, b = 8.1341 Å, c = 2.7270 Å
α = 90.00°, β = 90.00°, γ = 90.00°
Space group Cmmm (No. 65)
Symmetry-distinct sites (fractional):
Ta 0.0000 0.0000 0.0000
Tc 0.0000 0.5000 0.0000
Pt 0.2500 0.2500 0.5000



4.
The following is a GGA-PBEsol calculation of crystalline Ta2TcPt at its relaxed geometry, from the Alexandria database.

## Properties
energy relative to the elements: 0.022 eV/atom
calculated volume: 16.1 Å³ per atom

a = 2.8026 Å, b = 2.8026 Å, c = 28.4550 Å
α = 90.00°, β = 90.00°, γ = 120.00°
Space group R3m (No. 160, hexagonal axes)
Symmetry-distinct sites (fractional):
Ta 0.0000 0.0000 0.0000
Ta 0.0000 0.0000 0.2428
Tc 0.0000 0.0000 0.7502
Pt 0.0000 0.0000 0.4955



5.
The following is a GGA-PBEsol calculation of crystalline TaTcPt2 at its relaxed geometry, from the Alexandria database.

## Properties
offset from the most stable computed form: 151.3 meV per atom
energy relative to the elements: -0.413 eV/atom
calculated volume: 15.1 Å³ per atom

a = 3.9629 Å, b = 3.9629 Å, c = 7.7138 Å
α = 90.00°, β = 90.00°, γ = 90.00°
Space group I-4m2 (No. 119)
Symmetry-distinct sites (fractional):
Ta 0.0000 0.0000 0.0000
Tc 0.0000 0.5000 0.7500
Pt 0.0000 0.0000 0.5000
Pt 0.0000 0.5000 0.2500



6.
The following is a GGA-PBEsol calculation of crystalline TaTcPt2 at its relaxed geometry, from the Alexandria database.

## Properties
offset from the most stable computed form: 31.2 meV per atom
energy relative to the elements: -0.533 eV/atom
calculated volume: 15.0 Å³ per atom

a = 3.8389 Å, b = 3.8389 Å, c = 8.1512 Å
α = 90.00°, β = 90.00°, γ = 90.00°
Space group I4/mmm (No. 139)
Symmetry-distinct sites (fractional):
Ta 0.0000 0.0000 0.0000
Tc 0.0000 0.0000 0.5000
Pt 0.0000 0.5000 0.2500



7.
The following is a GGA-PBEsol calculation of crystalline TaTcPt2 at its relaxed geometry, from the Alexandria database.

## Properties
offset from the most stable computed form: 0.0 meV per atom
energy relative to the elements: -0.565 eV/atom
calculated volume: 15.0 Å³ per atom

a = 3.8352 Å, b = 3.8352 Å, c = 4.0758 Å
α = 90.00°, β = 90.00°, γ = 90.00°
Space group P4/mmm (No. 123)
Symmetry-distinct sites (fractional):
Ta 0.0000 0.0000 0.0000
Tc 0.5000 0.5000 0.0000
Pt 0.0000 0.5000 0.5000



8.
The following is a GGA-PBEsol calculation of crystalline TaTc3Pt at its relaxed geometry, from the Alexandria database.

## Properties
offset from the most stable computed form: 75.7 meV per atom
energy relative to the elements: 2.041 eV/atom
calculated volume: 19.4 Å³ per atom

a = 4.5943 Å, b = 4.5943 Å, c = 4.5943 Å
α = 90.00°, β = 90.00°, γ = 90.00°
Space group Pm-3m (No. 221)
Symmetry-distinct sites (fractional):
Ta 0.0000 0.0000 0.0000
Tc 0.0000 0.5000 0.5000
Pt 0.5000 0.5000 0.5000